Ho4Cu2HgOs (PBE, optimized geometry); formation energy from the elements = -32.1 kJ per mole of atoms
1.0
-2.089 1.694 -4.175
-3.760 -2.488 -2.082
-7.213 4.029 2.290
Ho Cu Hg Os
4 2 1 1
Cartesian
-8.383 3.128 -0.443 Ho
-7.924 0.899 -4.531 Ho
-5.138 2.336 0.565 Ho
-4.679 0.107 -3.523 Ho
-9.840 2.461 -2.939 Cu
-3.222 0.773 -1.027 Cu
0.000 0.000 0.000 Hg
-6.531 1.617 -1.983 Os